1.
Density functional theory data (GGA-PBE) for an optimized crystal structure of SrTi2AsSe.

ΔE_f (raw) ... -0.121 eV per atom
Space-group type ... P4/mmm (123)
Calculated total energy ... -26.21 eV per cell

a b c (Å): 4.8059 5.7919 4.8059
angles (deg): 90.00 90.00 90.00
Last column: nearest neighbours and their distance in Å.
Fractional coordinates of all 5 atoms:
As 0.5000 0.5000 0.5000  4 Sr 3.40, 8 Ti 3.76
Ti 0.0000 0.0000 0.5000  2 Se 2.40
Ti 0.5000 0.0000 0.0000  2 Se 2.40
Se 0.0000 0.0000 0.0000  4 Ti 2.40
Sr 0.0000 0.5000 0.0000  2 Se 2.90

***

2.
Density functional theory data (GGA-PBE) for an optimized crystal structure of SrTlAs2Se.

ΔE_f (raw) ... 0.399 eV per atom
Space-group type ... P4/mmm (123)
Calculated total energy ... -14.84 eV per cell

a b c (Å): 5.7809 5.7809 5.7735
angles (deg): 90.00 90.00 90.00
Last column: nearest neighbours and their distance in Å.
Fractional coordinates of all 5 atoms:
Se 0.0000 0.0000 0.5000  2 Sr 2.89
As 0.5000 0.0000 0.0000  2 Sr 2.89
As 0.0000 0.5000 0.0000  2 Sr 2.89
Tl 0.5000 0.5000 0.5000  8 As 4.09, 4 Se 4.09
Sr 0.0000 0.0000 0.0000  2 Se 2.89, 4 As 2.89

***

3.
Density functional theory data (GGA-PBE) for an optimized crystal structure of SrTlAs2Se.

ΔE_f (raw) ... 0.095 eV per atom
Space-group type ... P4/mmm (123)
Calculated total energy ... -16.36 eV per cell

a b c (Å): 5.3143 5.3143 5.5536
angles (deg): 90.00 90.00 90.00
Last column: nearest neighbours and their distance in Å.
Fractional coordinates of all 5 atoms:
As 0.0000 0.5000 0.0000  2 Tl 2.66
As 0.5000 0.0000 0.0000  2 Tl 2.66
Se 0.0000 0.0000 0.5000  2 Tl 2.78
Sr 0.5000 0.5000 0.5000  4 Se 3.76, 8 As 3.84
Tl 0.0000 0.0000 0.0000  4 As 2.66, 2 Se 2.78